# K3TcTe, relaxed, DFT GGA-PBE
data_K3TcTe
_chemical_formula_sum 'K3 Tc1 Te1'
_cell_length_a 6.6123
_cell_length_b 6.6123
_cell_length_c 6.6123
_cell_angle_alpha 90.00
_cell_angle_beta 90.00
_cell_angle_gamma 90.00
_symmetry_space_group_name_H-M 'P m -3 m'
_symmetry_Int_Tables_number 221
_symmetry_space_group_name_Hall '-P 4 2 3'
loop_
_atom_site_label
_atom_site_type_symbol
_atom_site_fract_x
_atom_site_fract_y
_atom_site_fract_z
K1 K 0.0000 0.0000 0.5000
Tc1 Tc 0.5000 0.5000 0.5000
Te1 Te 0.0000 0.0000 0.0000
# - D(E_F): 1.877 states/eV per atom
# - Energy relative to the lowest polymorph listed for this composition: 0.0 kJ/mol of atoms
# - Raw formation energy: 555 meV per atom
# - DFT total energy: -14.03 eV per cell
# - Density: 1969 kg/m³